An optimized crystal structure of PtRhI2. Source: Alexandria via LeMat-Bulk, functional GGA-PBEsol.

Output
Total energy in eV/cell: -15.8
Spin magnetization in Bohr magnetons per cell: 0.000
Theoretical density in Mg/m³: 11.5
Formation energy (no corrections) in eV per formula unit: 2.82

abc: 4.8340 4.8340 4.8340
angles: 60.00 60.00 60.00
Element x y z (fractional)
Pt1 0.0000 0.0000 0.0000
Rh1 0.5000 0.5000 0.5000
I1 0.2500 0.2500 0.2500
I2 0.7500 0.7500 0.7500

An optimized crystal structure of PtRhI3. Source: Alexandria via LeMat-Bulk, functional GGA-PBEsol.

Output
Total energy in eV/cell: -15.9
Spin magnetization in Bohr magnetons per cell: 0.841
Theoretical density in Mg/m³: 8.0
Formation energy (no corrections) in eV per formula unit: 4.51

abc: 5.1943 5.1943 5.1943
angles: 90.00 90.00 90.00
Element x y z (fractional)
Pt1 0.0000 0.0000 0.0000
Rh1 0.5000 0.5000 0.5000
I1 0.0000 0.5000 0.5000
I2 0.5000 0.0000 0.5000
I3 0.5000 0.5000 0.0000

An optimized crystal structure of TcPt2RhI. Source: Alexandria via LeMat-Bulk, functional GGA-PBEsol.

Output
Total energy in eV/cell: -25.1
Spin magnetization in Bohr magnetons per cell: 3.845
Theoretical density in Mg/m³: 10.7
Formation energy (no corrections) in eV per formula unit: 10.05

abc: 4.8024 4.8024 4.8228
angles: 90.00 90.00 90.00
Element x y z (fractional)
Tc1 0.0000 0.0000 0.0000
Pt1 0.0000 0.5000 0.5000
Pt2 0.5000 0.0000 0.5000
Rh1 0.5000 0.5000 0.0000
I1 0.0000 0.0000 0.5000

Repeat the third record exactly.
An optimized crystal structure of TcPt2RhI. Source: Alexandria via LeMat-Bulk, functional GGA-PBEsol.

Output
Total energy in eV/cell: -25.1
Spin magnetization in Bohr magnetons per cell: 3.845
Theoretical density in Mg/m³: 10.7
Formation energy (no corrections) in eV per formula unit: 10.05

abc: 4.8024 4.8024 4.8228
angles: 90.00 90.00 90.00
Element x y z (fractional)
Tc1 0.0000 0.0000 0.0000
Pt1 0.0000 0.5000 0.5000
Pt2 0.5000 0.0000 0.5000
Rh1 0.5000 0.5000 0.0000
I1 0.0000 0.0000 0.5000